# LiSm6In | the Alexandria database | GGA-PBE | optimized geometry
# - calculated volume (A^3/atom) = 30.48
# - total magnetization (μB/f.u.) = 0.000
# - ΔH_f (0 K) (eV/atom) = -0.006
data_LiSm6In
_space_group_name_H-M_alt 'P 1'
_space_group_IT_number 1
_space_group_name_Hall 'P 1'
_cell_length_a 6.253
_cell_length_b 6.258
_cell_length_c 6.264
_cell_angle_alpha 93.33
_cell_angle_beta 93.28
_cell_angle_gamma 93.41
loop_
_atom_site_label
_atom_site_fract_x
_atom_site_fract_y
_atom_site_fract_z
Li1 0.000 0.000 0.000
Sm1 0.029 0.544 0.751
Sm2 0.249 0.969 0.456
Sm3 0.457 0.249 0.968
Sm4 0.543 0.751 0.032
Sm5 0.751 0.031 0.544
Sm6 0.971 0.456 0.249
In1 0.500 0.500 0.500